Record 1
A relaxed BiPb2Br crystal. Source: Alexandria, functional PBE.

The value obtained for the total energy is -13.915 eV per cell. The value obtained for the density of states at the Fermi level is 1.3 states/eV/cell. The size of the total moment is 0.00 μB/cell. The value obtained for the excess energy over the best structure of this formula in the dataset is 0.192 eV/f.u.

Cell lengths 3.9092, 3.9092, 8.3056 Å; angles 90.00, 90.00, 90.00 degrees
With the nearest neighbours (Å) after each atom.
Fractional positions:
Bi: 0.0000 0.0000 0.0000  8 Pb 3.41
Pb: 0.5000 0.5000 0.2399  4 Bi 3.41, 4 Br 3.51
Pb: 0.5000 0.5000 0.7601  4 Bi 3.41, 4 Br 3.51
Br: 0.0000 0.0000 0.5000  8 Pb 3.51, 4 Br 3.91

***

Record 2
A relaxed BiPb2Br crystal. Source: Alexandria, functional PBE.

The value obtained for the total energy is -13.992 eV per cell. The size of the total moment is 0.00 μB/cell. The value obtained for the excess energy over the best structure of this formula in the dataset is 0.115 eV/f.u.

Cell lengths 8.3839, 8.3839, 8.3839 Å; angles 32.06, 32.06, 32.06 degrees
With the nearest neighbours (Å) after each atom.
Fractional positions:
Bi: 0.0000 0.0000 0.0000  6 Pb 3.16-3.27
Pb: 0.4042 0.4042 0.4042  3 Bi 3.16
Pb: 0.5873 0.5873 0.5873  3 Br 3.20, 3 Bi 3.27
Br: 0.1805 0.1805 0.1805  3 Pb 3.20

***

Record 3
A relaxed BiPb2Br crystal. Source: Alexandria, functional PBE.

The value obtained for the total energy is -26.576 eV per cell. The value obtained for the density of states at the Fermi level is 0.2 states/eV/cell. The size of the total moment is 0.00 μB/cell. The value obtained for the excess energy over the best structure of this formula in the dataset is 0.819 eV/f.u.

Cell lengths 8.7948, 8.7948, 8.7948 Å; angles 130.56, 130.56, 72.51 degrees
With the nearest neighbours (Å) after each atom.
Fractional positions:
Bi: 0.0000 0.0000 0.0000  4 Pb 3.14
Bi: 0.7500 0.2500 0.5000  4 Pb 3.14
Pb: 0.1242 0.6250 0.9992  2 Bi 3.14, 2 Br 3.15
Pb: 0.3750 0.3742 0.4992  2 Bi 3.14, 2 Br 3.15
Pb: 0.6258 0.1250 0.0008  2 Bi 3.14, 2 Br 3.15
Pb: 0.8750 0.8758 0.5008  2 Bi 3.14, 2 Br 3.15
Br: 0.2500 0.7500 0.5000  4 Pb 3.15
Br: 0.5000 0.5000 0.0000  4 Pb 3.15

***

Record 4
A relaxed Bi2Pb2Br crystal. Source: Alexandria, functional PBE.

The value obtained for the total energy is -34.097 eV per cell. The value obtained for the density of states at the Fermi level is 4.9 states/eV/cell. The size of the total moment is 0.00 μB/cell. The value obtained for the excess energy over the best structure of this formula in the dataset is 0.672 eV/f.u.

Cell lengths 9.0114, 9.0114, 4.2086 Å; angles 90.00, 90.00, 90.00 degrees
With the nearest neighbours (Å) after each atom.
Fractional positions:
Bi: 0.1289 0.3711 0.0000  6 Pb 3.28-3.52, 1 Bi 3.29, 2 Br 3.54
Bi: 0.3711 0.8711 0.0000  6 Pb 3.28-3.52, 1 Bi 3.29, 2 Br 3.54
Bi: 0.6289 0.1289 0.0000  6 Pb 3.28-3.52, 1 Bi 3.29, 2 Br 3.54
Bi: 0.8711 0.6289 0.0000  6 Pb 3.28-3.52, 1 Bi 3.29, 2 Br 3.54
Pb: 0.1500 0.6500 0.5000  6 Bi 3.28-3.52
Pb: 0.3500 0.1500 0.5000  6 Bi 3.28-3.52
Pb: 0.6500 0.8500 0.5000  6 Bi 3.28-3.52
Pb: 0.8500 0.3500 0.5000  6 Bi 3.28-3.52
Br: 0.0000 0.0000 0.0000  4 Bi 3.54
Br: 0.5000 0.5000 0.0000  4 Bi 3.54

***

Record 5
A relaxed BiPb2Br crystal. Source: Alexandria, functional PBE.

The value obtained for the total energy is -13.746 eV per cell. The value obtained for the density of states at the Fermi level is 1.1 states/eV/cell. The size of the total moment is 0.00 μB/cell. The value obtained for the excess energy over the best structure of this formula in the dataset is 0.361 eV/f.u.

Cell lengths 5.9279, 5.9279, 3.5776 Å; angles 90.00, 90.00, 90.00 degrees
With the nearest neighbours (Å) after each atom.
Fractional positions:
Bi: 0.0000 0.0000 0.0000  8 Pb 3.46, 2 Bi 3.58
Pb: 0.0000 0.5000 0.5000  4 Br 3.46, 4 Bi 3.46, 2 Pb 3.58
Pb: 0.5000 0.0000 0.5000  4 Br 3.46, 4 Bi 3.46, 2 Pb 3.58
Br: 0.5000 0.5000 0.0000  8 Pb 3.46, 2 Br 3.58

***

Record 6
A relaxed Bi3PbBr crystal. Source: Alexandria, functional PBE.

The value obtained for the total energy is -13.551 eV per cell. The value obtained for the density of states at the Fermi level is 6.3 states/eV/cell. The size of the total moment is 0.00 μB/cell. The value obtained for the excess energy over the best structure of this formula in the dataset is 0.412 eV/f.u.

Cell lengths 5.9747, 5.9747, 5.9747 Å; angles 90.00, 90.00, 90.00 degrees
With the nearest neighbours (Å) after each atom.
Fractional positions:
Bi: 0.0000 0.0000 0.5000  2 Pb 2.99
Bi: 0.0000 0.5000 0.0000  2 Pb 2.99
Bi: 0.5000 0.0000 0.0000  2 Pb 2.99
Pb: 0.0000 0.0000 0.0000  6 Bi 2.99
Br: 0.5000 0.5000 0.5000  12 Bi 4.22

***

Record 7
A relaxed Bi2Pb2Br crystal. Source: Alexandria, functional PBE.

The value obtained for the total energy is -17.721 eV per cell. The value obtained for the density of states at the Fermi level is 1.7 states/eV/cell. The size of the total moment is 0.00 μB/cell. The value obtained for the excess energy over the best structure of this formula in the dataset is 0.000 eV/f.u.

Cell lengths 8.6898, 8.6898, 8.6898 Å; angles 148.37, 148.37, 45.33 degrees
With the nearest neighbours (Å) after each atom.
Fractional positions:
Bi: 0.2500 0.7500 0.5000  4 Pb 3.28, 4 Bi 3.35
Bi: 0.7500 0.2500 0.5000  4 Pb 3.28, 4 Bi 3.35
Pb: 0.1082 0.1082 0.0000  4 Bi 3.28, 1 Pb 3.47
Pb: 0.8918 0.8918 0.0000  4 Bi 3.28, 1 Pb 3.47
Br: 0.5000 0.5000 0.0000  8 Pb 3.77

***

Record 8
A relaxed Bi2PbBr6 crystal. Source: Alexandria, functional PBE.

The value obtained for the total energy is -52.592 eV per cell. The value obtained for the density of states at the Fermi level is 0.5 states/eV/cell. The size of the total moment is 0.00 μB/cell.

Cell lengths 10.3145, 10.3145, 8.0704 Å; angles 90.84, 90.84, 83.65 degrees
With the nearest neighbours (Å) after each atom.
Fractional positions:
Bi: 0.0923 0.3370 0.2969  2 Br 2.70-2.74
Bi: 0.3370 0.0923 0.7969  2 Br 2.70-2.74
Bi: 0.6630 0.9077 0.2031  2 Br 2.70-2.74
Bi: 0.9077 0.6630 0.7031  2 Br 2.70-2.74
Pb: 0.4323 0.5677 0.7500  6 Br 2.95-3.25
Pb: 0.5677 0.4323 0.2500  6 Br 2.95-3.25
Br: 0.1344 0.1377 0.0054  1 Bi 2.70
Br: 0.1377 0.1344 0.5054  1 Bi 2.70
Br: 0.1441 0.5566 0.5846  1 Bi 2.74
Br: 0.3161 0.4748 0.0696  2 Pb 2.95-3.07
Br: 0.4434 0.8559 0.9154  1 Bi 2.74
Br: 0.4748 0.3161 0.5696  2 Pb 2.95-3.07
Br: 0.5252 0.6839 0.4304  2 Pb 2.95-3.07
Br: 0.5566 0.1441 0.0846  1 Bi 2.74
Br: 0.6839 0.5252 0.9304  2 Pb 2.95-3.07
Br: 0.8559 0.4434 0.4154  1 Bi 2.74
Br: 0.8623 0.8656 0.4946  1 Bi 2.70
Br: 0.8656 0.8623 0.9946  1 Bi 2.70